[1]
A plane-wave DFT calculation with PBE+U was carried out for an optimized crystal structure of K2CdCoO4.

The size of the total moment comes out at 3.021 μB/f.u. The value obtained for the raw total energy is -35.7 eV/f.u.

Cell lengths 5.7091, 6.7531, 10.5557 Å; angles 83.44, 74.31, 64.99 degrees
Element x y z (fractional)
K (0.8102, 0.0000, 0.3797)
K (0.1898, 0.0000, 0.6203)
K (0.5602, 0.5000, 0.8797)
K (0.9398, 0.5000, 0.1203)
O (0.8333, 0.8038, 0.9314)
O (0.3630, 0.8038, 0.0686)
O (0.1816, 0.3038, 0.4314)
O (0.3870, 0.6962, 0.4314)
O (0.5146, 0.3038, 0.5686)
O (0.5684, 0.1962, 0.0686)
O (0.9167, 0.6962, 0.5686)
O (0.2354, 0.1962, 0.9314)
Cd (0.7500, 0.5000, 0.5000)
Cd (0.0000, 0.0000, 0.0000)
Co (0.2500, 0.5000, 0.5000)
Co (0.5000, 0.0000, 0.0000)

=====

[2]
A plane-wave DFT calculation with PBE+U was carried out for an optimized crystal structure of K2CdCo2O4.

The size of the total moment comes out at 6.007 μB/f.u. The value obtained for the raw total energy is -43.0 eV/f.u.

Cell lengths 3.4119, 7.0807, 6.3636 Å; angles 107.57, 90.00, 103.94 degrees
Element x y z (fractional)
O (0.5331, 0.0662, 0.7876)
O (0.2163, 0.4326, 0.1685)
O (0.4669, 0.9338, 0.2124)
O (0.7837, 0.5674, 0.8315)
K (0.8752, 0.7504, 0.4748)
K (0.1248, 0.2496, 0.5252)
Cd (0.0000, 0.0000, 0.0000)
Co (0.3277, 0.6553, 0.0058)
Co (0.6723, 0.3447, 0.9942)